No. 1
A relaxed structure of K2MgFe. Source: Alexandria, functional PBE-GGA.

Cell lengths 6.5347, 6.5347, 3.5782 Å; angles 90.00, 90.00, 115.90 degrees
Last column: nearest neighbours and their distance in Å.
Fractional positions:
K 0.0000 0.5000 0.0000  4 K 3.47-3.58, 4 Fe 3.73, 4 Mg 3.73
K 0.5000 0.0000 0.0000  4 K 3.47-3.58, 4 Fe 3.73, 4 Mg 3.73
Mg 0.0000 0.0000 0.5000  2 Fe 3.47, 2 Mg 3.58, 8 K 3.73
Fe 0.5000 0.5000 0.5000  2 Mg 3.47, 2 Fe 3.58, 8 K 3.73

Summary:
Formation energy ... 870 meV per atom
Theoretical density ... 1.9 g/cm3
Density of states at the Fermi level ... 3.6 states/eV/f.u.
Calculated total energy ... -8.77 eV per formula unit



No. 2
A relaxed structure of K3ZnN. Source: Alexandria, functional PBE-GGA.

Cell lengths 5.5989, 5.5989, 5.5989 Å; angles 90.00, 90.00, 90.00 degrees
Last column: nearest neighbours and their distance in Å.
Fractional positions:
K 0.0000 0.0000 0.5000  2 N 2.80
K 0.0000 0.5000 0.0000  2 N 2.80
K 0.5000 0.0000 0.0000  2 N 2.80
Zn 0.5000 0.5000 0.5000  12 K 3.96
N 0.0000 0.0000 0.0000  6 K 2.80

Summary:
Theoretical density ... 1.9 g/cm3
Density of states at the Fermi level ... 5.4 states/eV/f.u.
Calculated total energy ... -10.51 eV per formula unit
Uncorrected formation energy ... 477 meV per atom



No. 3
A relaxed structure of KIr2Rh. Source: Alexandria, functional PBE-GGA.

Cell lengths 2.7087, 4.2230, 7.2757 Å; angles 90.00, 100.39, 90.00 degrees
Last column: nearest neighbours and their distance in Å.
Fractional positions:
K 0.0000 0.0000 0.0000  2 K 2.71
Ir 0.3124 0.5000 0.6463  6 Ir 2.64-2.71, 2 Rh 2.70
Ir 0.7575 0.0000 0.5331  2 Rh 2.60, 6 Ir 2.64-2.71
Rh 0.6542 0.5000 0.3205  4 Ir 2.60-2.70, 2 Rh 2.71

Summary:
Formation energy ... 510 meV per atom
Theoretical density ... 10.7 g/cm3
Density of states at the Fermi level ... 5.5 states/eV/f.u.
Calculated total energy ... -24.13 eV per formula unit



No. 4
A relaxed structure of SiTe2IN. Source: Alexandria, functional PBE-GGA.

Cell lengths 5.9272, 5.9272, 3.3319 Å; angles 90.00, 90.00, 90.00 degrees
Last column: nearest neighbours and their distance in Å.
Fractional positions:
Si 0.0000 0.0000 0.0000  2 N 1.67
Te 0.0000 0.5000 0.0000  2 Si 2.96
Te 0.5000 0.0000 0.0000  2 Si 2.96
I 0.5000 0.5000 0.5000  2 I 3.33, 8 Te 3.40
N 0.0000 0.0000 0.5000  2 Si 1.67

Summary:
Theoretical density ... 6.0 g/cm3
Density of states at the Fermi level ... 3.2 states/eV/f.u.
Calculated total energy ... -19.62 eV per formula unit
Uncorrected formation energy ... 392 meV per atom



No. 5
A relaxed structure of BaIrW. Source: Alexandria, functional PBE-GGA.

Cell lengths 3.0800, 3.0800, 7.9322 Å; angles 90.00, 90.00, 120.00 degrees
Last column: nearest neighbours and their distance in Å.
Fractional positions:
Ba 0.0000 0.0000 0.0000  6 Ba 3.08, 3 Ir 3.43
Ir 0.6667 0.3333 0.3698  3 W 2.61
W 0.3333 0.6667 0.6110  3 Ir 2.61

Summary:
Formation energy ... 1008 meV per atom
Theoretical density ... 13.1 g/cm3
Density of states at the Fermi level ... 3.8 states/eV/f.u.
Calculated total energy ... -20.71 eV per formula unit



No. 6
A relaxed structure of Ac4GeTe2Rh. Source: Alexandria, functional PBE-GGA.

Cell lengths 7.8733, 4.5541, 8.2907 Å; angles 90.00, 108.07, 90.00 degrees
Last column: nearest neighbours and their distance in Å.
Fractional positions:
Ac 0.2351 0.0000 0.2156  2 Rh 3.12, 1 Ge 3.14, 3 Te 3.42-3.47
Ac 0.2466 0.5000 0.7860  1 Rh 3.01, 2 Ge 3.18
Ac 0.7534 0.5000 0.2140  1 Rh 3.01, 2 Ge 3.18
Ac 0.7649 0.0000 0.7844  2 Rh 3.12, 1 Ge 3.14, 3 Te 3.42-3.47
Ge 0.5000 0.0000 0.0000  6 Ac 3.14-3.18
Te 0.0000 0.0000 0.5000  6 Ac 3.42
Te 0.5000 0.5000 0.5000  6 Ac 3.47-3.54
Rh 0.0000 0.5000 0.0000  6 Ac 3.01-3.12

Summary:
Theoretical density ... 7.9 g/cm3
Density of states at the Fermi level ... 3.5 states/eV/f.u.
Calculated total energy ... -43.72 eV per formula unit
Uncorrected formation energy ... -1130 meV per atom



No. 7
A relaxed structure of La3SmDy6. Source: Alexandria, functional PBE-GGA.

Cell lengths 11.0673, 11.0673, 6.3801 Å; angles 90.00, 90.00, 120.06 degrees
Last column: nearest neighbours and their distance in Å.
Fractional positions:
La 0.1118 0.8882 0.5000  7 Dy 3.47-3.78, 2 La 3.66, 1 Sm 3.76
La 0.2111 0.4392 0.1059  1 Sm 3.28, 6 Dy 3.32-3.56, 1 La 3.66
La 0.4392 0.2111 0.6059  1 Sm 3.28, 6 Dy 3.32-3.56, 1 La 3.66
La 0.5608 0.7889 0.1059  1 Sm 3.28, 6 Dy 3.32-3.56, 1 La 3.66
La 0.7889 0.5608 0.6059  1 Sm 3.28, 6 Dy 3.32-3.56, 1 La 3.66
La 0.8882 0.1118 0.0000  7 Dy 3.47-3.78, 2 La 3.66, 1 Sm 3.76
Sm 0.3069 0.6931 0.4468  2 La 3.28, 6 Dy 3.31-3.61
Sm 0.6931 0.3069 0.9468  2 La 3.28, 6 Dy 3.31-3.61
Dy 0.0302 0.4507 0.6994  5 Dy 3.20-3.54, 1 Sm 3.31, 2 La 3.32-3.50
Dy 0.1229 0.2146 0.5238  4 La 3.44-3.78, 5 Dy 3.44-3.84
Dy 0.2146 0.1229 0.0238  4 La 3.44-3.78, 5 Dy 3.44-3.84
Dy 0.2247 0.7753 0.9246  4 Dy 3.20-3.44, 1 Sm 3.43, 1 La 3.47
Dy 0.4507 0.0302 0.1994  5 Dy 3.20-3.54, 1 Sm 3.31, 2 La 3.32-3.50
Dy 0.4631 0.5369 0.7001  1 Sm 3.40, 2 Dy 3.49, 4 La 3.53-3.55
Dy 0.5369 0.4631 0.2001  1 Sm 3.40, 2 Dy 3.49, 4 La 3.53-3.55
Dy 0.5493 0.9698 0.6994  5 Dy 3.20-3.54, 1 Sm 3.31, 2 La 3.32-3.50
Dy 0.7753 0.2247 0.4246  4 Dy 3.20-3.44, 1 Sm 3.43, 1 La 3.47
Dy 0.7854 0.8771 0.5238  4 La 3.44-3.78, 5 Dy 3.44-3.84
Dy 0.8771 0.7854 0.0238  4 La 3.44-3.78, 5 Dy 3.44-3.84
Dy 0.9698 0.5493 0.1994  5 Dy 3.20-3.54, 1 Sm 3.31, 2 La 3.32-3.50

Summary:
Formation energy ... 149 meV per atom
Theoretical density ... 7.6 g/cm3
Density of states at the Fermi level ... 14.0 states/eV/f.u.
Calculated total energy ... -45.63 eV per formula unit



No. 8
A relaxed structure of Pm2ZnPd6. Source: Alexandria, functional PBE-GGA.

Cell lengths 5.7136, 5.7136, 6.1162 Å; angles 102.11, 102.11, 60.67 degrees
Last column: nearest neighbours and their distance in Å.
Fractional positions:
Pm 0.1441 0.1441 0.3349  9 Pd 2.97-3.29
Pm 0.8559 0.8559 0.6651  9 Pd 2.97-3.29
Zn 0.5000 0.5000 0.5000  6 Pd 2.49-2.54
Pd 0.1094 0.6317 0.1822  1 Zn 2.54, 4 Pd 2.76-2.84
Pd 0.3683 0.8906 0.8178  1 Zn 2.54, 4 Pd 2.76-2.84
Pd 0.3729 0.3729 0.8058  1 Zn 2.49, 4 Pd 2.76-2.79
Pd 0.6271 0.6271 0.1942  1 Zn 2.49, 4 Pd 2.76-2.79
Pd 0.6317 0.1094 0.1822  1 Zn 2.54, 4 Pd 2.76-2.84
Pd 0.8906 0.3683 0.8178  1 Zn 2.54, 4 Pd 2.76-2.84

Summary:
Formation energy ... -722 meV per atom
Theoretical density ... 9.8 g/cm3
Density of states at the Fermi level ... 3.1 states/eV/f.u.
Calculated total energy ... -48.43 eV per formula unit



No. 9
A relaxed structure of Sr2LiNb2. Source: Alexandria, functional PBE-GGA.

Cell lengths 11.3201, 11.3201, 11.3201 Å; angles 160.67, 160.67, 27.47 degrees
Last column: nearest neighbours and their distance in Å.
Fractional positions:
Sr 0.1130 0.1130 0.0000  4 Nb 3.56, 4 Li 3.66, 4 Sr 3.80
Sr 0.8870 0.8870 0.0000  4 Nb 3.56, 4 Li 3.66, 4 Sr 3.80
Li 0.5000 0.5000 0.0000  8 Sr 3.66, 4 Li 3.80
Nb 0.2500 0.7500 0.5000  4 Nb 2.69
Nb 0.7500 0.2500 0.5000  4 Nb 2.69

Summary:
Formation energy ... 559 meV per atom
Theoretical density ... 3.8 g/cm3
Density of states at the Fermi level ... 6.6 states/eV/f.u.
Calculated total energy ... -22.62 eV per formula unit



No. 10
A relaxed structure of CsZnPb2F8. Source: Alexandria, functional PBE-GGA.

Cell lengths 5.4581, 5.5435, 7.7386 Å; angles 100.12, 94.94, 99.83 degrees
Last column: nearest neighbours and their distance in Å.
Fractional positions:
Cs 0.0000 0.0000 0.0000  6 F 2.94-3.07
Zn 0.0000 0.0000 0.5000  6 F 1.99-2.16
Pb 0.4798 0.5923 0.2650  6 F 2.28-2.51
Pb 0.5202 0.4077 0.7350  6 F 2.28-2.51
F 0.1427 0.7754 0.3215  1 Zn 1.99
F 0.2616 0.3106 0.4488  1 Zn 2.16
F 0.2887 0.0146 0.6970  1 Zn 2.08, 1 Pb 2.28
F 0.3052 0.5940 0.9711  2 Pb 2.39-2.43, 1 F 2.56
F 0.6948 0.4060 0.0289  2 Pb 2.39-2.43, 1 F 2.56
F 0.7113 0.9854 0.3030  1 Zn 2.08, 1 Pb 2.28
F 0.7384 0.6894 0.5512  1 Zn 2.16
F 0.8573 0.2246 0.6785  1 Zn 1.99

Summary:
Theoretical density ... 5.6 g/cm3
Density of states at the Fermi level ... 4.6 states/eV/f.u.
Calculated total energy ... -51.80 eV per formula unit
Uncorrected formation energy ... -2274 meV per atom



No. 11
A relaxed structure of Cs2OsCl2O4. Source: Alexandria, functional PBE-GGA.

Cell lengths 6.7009, 6.7009, 6.7009 Å; angles 115.19, 115.19, 98.56 degrees
Last column: nearest neighbours and their distance in Å.
Fractional positions:
Cs 0.2500 0.7500 0.5000  8 O 3.43, 4 Cl 3.60
Cs 0.7500 0.2500 0.5000  8 O 3.43, 4 Cl 3.60
Os 0.0000 0.0000 0.0000  4 O 1.81
Cl 0.2779 0.2779 0.0000  1 Os 2.43
Cl 0.7221 0.7221 0.0000  1 Os 2.43
O 0.1786 0.1786 0.3573  1 Os 1.81
O 0.1786 0.8214 0.0000  1 Os 1.81
O 0.8214 0.1786 0.0000  1 Os 1.81
O 0.8214 0.8214 0.6427  1 Os 1.81

Summary:
Theoretical density ... 4.4 g/cm3
Calculated total energy ... -47.26 eV per formula unit
Uncorrected formation energy ... -1199 meV per atom



No. 12
A relaxed structure of YTh2C2. Source: Alexandria, functional PBE-GGA.

Cell lengths 8.0087, 8.0087, 8.0087 Å; angles 152.54, 152.54, 39.22 degrees
Last column: nearest neighbours and their distance in Å.
Fractional positions:
Y 0.0000 0.0000 0.0000  2 C 2.53
Th 0.3338 0.3338 0.0000  5 C 2.50-2.69
Th 0.6662 0.6662 0.0000  5 C 2.50-2.69
C 0.1678 0.1678 0.0000  5 Th 2.50-2.69, 1 Y 2.53
C 0.8322 0.8322 0.0000  5 Th 2.50-2.69, 1 Y 2.53

Summary:
Formation energy ... -249 meV per atom
Theoretical density ... 8.8 g/cm3
Density of states at the Fermi level ... 3.7 states/eV/f.u.
Calculated total energy ... -41.00 eV per formula unit



No. 13
A relaxed structure of Ac3Ga2SiPd6. Source: Alexandria, functional PBE-GGA.

Cell lengths 6.0462, 6.0462, 8.5666 Å; angles 90.00, 90.00, 120.00 degrees
Last column: nearest neighbours and their distance in Å.
Fractional positions:
Ac 0.0000 0.0000 0.0000  6 Pd 3.23, 6 Ga 3.53
Ac 0.3333 0.6667 0.6616  6 Pd 3.03
Ac 0.6667 0.3333 0.3384  6 Pd 3.03
Ga 0.3333 0.6667 0.0623  3 Pd 2.70
Ga 0.6667 0.3333 0.9377  3 Pd 2.70
Si 0.0000 0.0000 0.5000  6 Pd 2.45
Pd 0.1749 0.3498 0.3102  1 Si 2.45, 1 Ga 2.70
Pd 0.1749 0.8251 0.3102  1 Si 2.45, 1 Ga 2.70
Pd 0.3498 0.1749 0.6898  1 Si 2.45, 1 Ga 2.70
Pd 0.6502 0.8251 0.3102  1 Si 2.45, 1 Ga 2.70
Pd 0.8251 0.1749 0.6898  1 Si 2.45, 1 Ga 2.70
Pd 0.8251 0.6502 0.6898  1 Si 2.45, 1 Ga 2.70

Summary:
Theoretical density ... 9.1 g/cm3
Density of states at the Fermi level ... 7.0 states/eV/f.u.
Calculated total energy ... -63.60 eV per formula unit
Uncorrected formation energy ... -720 meV per atom



No. 14
A relaxed structure of Ca2Ga2SnIr5. Source: Alexandria, functional PBE-GGA.

Cell lengths 9.7849, 9.7849, 3.6698 Å; angles 90.00, 90.00, 90.00 degrees
Last column: nearest neighbours and their distance in Å.
Fractional positions:
Ca 0.1751 0.3249 0.0000  3 Ga 2.78-2.97, 2 Ir 3.04
Ca 0.3249 0.8249 0.0000  3 Ga 2.78-2.97, 2 Ir 3.04
Ca 0.6751 0.1751 0.0000  3 Ga 2.78-2.97, 2 Ir 3.04
Ca 0.8249 0.6751 0.0000  3 Ga 2.78-2.97, 2 Ir 3.04
Ga 0.1240 0.6240 0.0000  6 Ir 2.51-2.52, 1 Ca 2.78
Ga 0.3760 0.1240 0.0000  6 Ir 2.51-2.52, 1 Ca 2.78
Ga 0.6240 0.8760 0.0000  6 Ir 2.51-2.52, 1 Ca 2.78
Ga 0.8760 0.3760 0.0000  6 Ir 2.51-2.52, 1 Ca 2.78
Sn 0.0000 0.0000 0.0000  8 Ir 2.82
Sn 0.5000 0.5000 0.0000  8 Ir 2.82
Ir 0.0000 0.5000 0.5000  4 Ga 2.51
Ir 0.0647 0.7910 0.5000  2 Ga 2.52, 2 Sn 2.82
Ir 0.2090 0.0647 0.5000  2 Ga 2.52, 2 Sn 2.82
Ir 0.2910 0.5647 0.5000  2 Ga 2.52, 2 Sn 2.82
Ir 0.4353 0.2910 0.5000  2 Ga 2.52, 2 Sn 2.82
Ir 0.5000 0.0000 0.5000  4 Ga 2.51
Ir 0.5647 0.7090 0.5000  2 Ga 2.52, 2 Sn 2.82
Ir 0.7090 0.4353 0.5000  2 Ga 2.52, 2 Sn 2.82
Ir 0.7910 0.9353 0.5000  2 Ga 2.52, 2 Sn 2.82
Ir 0.9353 0.2090 0.5000  2 Ga 2.52, 2 Sn 2.82

Summary:
Formation energy ... -389 meV per atom
Theoretical density ... 12.3 g/cm3
Density of states at the Fermi level ... 6.3 states/eV/f.u.
Calculated total energy ... -62.26 eV per formula unit



No. 15
A relaxed structure of ReSiIN2. Source: Alexandria, functional PBE-GGA.

Cell lengths 3.9368, 3.9368, 5.6756 Å; angles 90.00, 90.00, 90.00 degrees
Last column: nearest neighbours and their distance in Å.
Fractional positions:
Re 0.0000 0.0000 0.0000  4 N 1.97
Si 0.5000 0.5000 0.5000  4 I 2.78
I 0.0000 0.0000 0.5000  4 Si 2.78, 2 Re 2.84
N 0.0000 0.5000 0.0000  2 Re 1.97
N 0.5000 0.0000 0.0000  2 Re 1.97

Summary:
Theoretical density ... 7.0 g/cm3
Density of states at the Fermi level ... 3.0 states/eV/f.u.
Calculated total energy ... -31.03 eV per formula unit
Uncorrected formation energy ... 1007 meV per atom



No. 16
A relaxed structure of CdGe2W. Source: Alexandria, functional PBE-GGA.

Cell lengths 7.1518, 7.1518, 7.1518 Å; angles 129.31, 129.31, 74.51 degrees
Last column: nearest neighbours and their distance in Å.
Fractional positions:
Cd 0.0000 0.0000 0.0000  4 Ge 2.75
Cd 0.7500 0.2500 0.5000  4 Ge 2.75
Ge 0.1680 0.6250 0.0430  2 W 2.44
Ge 0.3750 0.4180 0.5430  2 W 2.44
Ge 0.5820 0.1250 0.9570  2 W 2.44
Ge 0.8750 0.8320 0.4570  2 W 2.44
W 0.2500 0.7500 0.5000  4 Ge 2.44
W 0.5000 0.5000 0.0000  4 Ge 2.44

Summary:
Formation energy ... 866 meV per atom
Theoretical density ... 6.9 g/cm3
Density of states at the Fermi level ... 0.8 states/eV/f.u.
Calculated total energy ... -19.64 eV per formula unit



No. 17
A relaxed structure of ScRhCl4. Source: Alexandria, functional PBE-GGA.

Cell lengths 5.6636, 5.6636, 5.6636 Å; angles 60.00, 60.00, 60.00 degrees
Last column: nearest neighbours and their distance in Å.
Fractional positions:
Sc 0.0000 0.0000 0.0000  12 Cl 3.32, 4 Rh 3.47
Rh 0.2500 0.2500 0.2500  12 Cl 3.32, 4 Sc 3.47
Cl 0.1252 0.6249 0.6249  6 Cl 2.83
Cl 0.6249 0.1252 0.6249  6 Cl 2.83
Cl 0.6249 0.6249 0.1252  6 Cl 2.83
Cl 0.6249 0.6249 0.6249  6 Cl 2.83

Summary:
Theoretical density ... 3.7 g/cm3
Density of states at the Fermi level ... 8.8 states/eV/f.u.
Calculated total energy ... -18.22 eV per formula unit
Uncorrected formation energy ... 475 meV per atom